# V5ZnO8

An optimized crystal structure of V5ZnO8 (PBE with a Hubbard U, Alexandria).

* calculated volume: 158 Å³/cell
* total energy: -7.453 eV per atom
* symmetry: F-43m, No. 216

Cell lengths 6.0672, 6.0672, 6.0672 Å; angles 60.00, 60.00, 60.00 degrees
With the nearest neighbours (Å) after each atom.
Fractional coordinates of all 14 atoms:
1 V 0.0000 0.0000 0.0000  4 O 1.96
2 V 0.6240 0.6240 0.1280  6 O 2.06-2.10
3 V 0.6240 0.6240 0.6240  6 O 2.06-2.10
4 V 0.1280 0.6240 0.6240  6 O 2.06-2.10
5 V 0.6240 0.1280 0.6240  6 O 2.06-2.10
6 Zn 0.2500 0.2500 0.2500  4 O 1.99
7 O 0.3842 0.8473 0.3842  1 Zn 1.99, 3 V 2.06
8 O 0.8473 0.3842 0.3842  1 Zn 1.99, 3 V 2.06
9 O 0.3842 0.3842 0.3842  1 Zn 1.99, 3 V 2.06
10 O 0.3842 0.3842 0.8473  1 Zn 1.99, 3 V 2.06
11 O 0.8680 0.8680 0.3961  4 V 1.96-2.10
12 O 0.3961 0.8680 0.8680  4 V 1.96-2.10
13 O 0.8680 0.8680 0.8680  4 V 1.96-2.10
14 O 0.8680 0.3961 0.8680  4 V 1.96-2.10

=====

# V2Zn2O7

An optimized crystal structure of V2Zn2O7 (PBE with a Hubbard U, Alexandria).

* calculated volume: 170 Å³/cell
* total energy: -6.222 eV per atom
* symmetry: C2/m, No. 12

Cell lengths 7.3842, 5.0500, 5.0500 Å; angles 115.47, 89.89, 89.89 degrees
With the nearest neighbours (Å) after each atom.
Fractional coordinates of all 11 atoms:
1 V 0.0000 0.3268 0.6732  6 O 1.82-1.98
2 V 0.0000 0.6732 0.3268  6 O 1.82-1.98
3 Zn 0.3040 0.1902 0.1902  1 O 1.77
4 Zn 0.6960 0.8098 0.8098  1 O 1.77
5 O 0.8648 0.0074 0.6243  2 V 1.82-1.98
6 O 0.1352 0.3757 0.9926  2 V 1.82-1.98
7 O 0.1352 0.9926 0.3757  2 V 1.82-1.98
8 O 0.8648 0.6243 0.0074  2 V 1.82-1.98
9 O 0.5000 0.0000 0.0000  2 Zn 1.77
10 O 0.1641 0.5239 0.5239  2 V 1.92, 1 Zn 2.07
11 O 0.8359 0.4761 0.4761  2 V 1.92, 1 Zn 2.07